First-principles (meta-GGA SCAN) data for a crystal of KZnTe2 relaxed with PBEsol, as listed in Alexandria.

Summary:
Its spin magnetization is 0.0 μB per formula unit. Its symmetry is No. 119. The calculation puts the calculated volume at 108 Å³ per cell. The total energy comes out at -24.154 eV/atom.

Cell: 4.445 4.445 6.300 Å, 110.66 110.66 90.00°
Element x y z (fractional)
Te 0.000 0.000 0.000
Te 0.750 0.250 0.500
Zn 0.500 0.500 0.000
K 0.250 0.750 0.500

First-principles (meta-GGA SCAN) data for a crystal of TaSe2IBr relaxed with PBEsol, as listed in Alexandria.

Summary:
Its spin magnetization is 3.2 μB per formula unit. Its symmetry is No. 123. The calculation puts the calculated volume at 151 Å³ per cell. The total energy comes out at -31.062 eV/atom.

Cell: 5.348 5.348 5.293 Å, 90.00 90.00 90.00°
Last column: magnetic moment on the atom in μB.
Element x y z (fractional)
Ta 0.500 0.500 0.500  2.23
Se 0.500 0.000 0.000  -0.09
Se 0.000 0.500 0.000  -0.09
I 0.000 0.000 0.000  -0.01
Br 0.000 0.000 0.500  0.04

First-principles (meta-GGA SCAN) data for a crystal of PWS2I relaxed with PBEsol, as listed in Alexandria.

Summary:
Its spin magnetization is 0.0 μB per formula unit. Its symmetry is No. 123. The calculation puts the calculated volume at 104 Å³ per cell. The total energy comes out at -26.930 eV/atom.

Cell: 4.557 4.557 5.021 Å, 90.00 90.00 90.00°
Element x y z (fractional)
S 0.000 0.500 0.000
S 0.500 0.000 0.000
I 0.500 0.500 0.500
W 0.000 0.000 0.000
P 0.000 0.000 0.500

First-principles (meta-GGA SCAN) data for a crystal of CrTe3S relaxed with PBEsol, as listed in Alexandria.

Summary:
Its spin magnetization is 3.7 μB per formula unit. Its symmetry is No. 221. The calculation puts the calculated volume at 138 Å³ per cell. The total energy comes out at -27.339 eV/atom.

Cell: 5.166 5.166 5.166 Å, 90.00 90.00 90.00°
Last column: magnetic moment on the atom in μB.
Element x y z (fractional)
Te 0.000 0.500 0.000  -0.19
Te 0.000 0.000 0.500  -0.19
Te 0.500 0.000 0.000  -0.19
S 0.000 0.000 0.000  -0.06
Cr 0.500 0.500 0.500  4.22

First-principles (meta-GGA SCAN) data for a crystal of Ti2NiPbS relaxed with PBEsol, as listed in Alexandria.

Summary:
Its spin magnetization is 0.0 μB per formula unit. Its symmetry is No. 123. The calculation puts the calculated volume at 101 Å³ per cell. The total energy comes out at -26.420 eV/atom.

Cell: 4.376 4.376 5.262 Å, 90.00 90.00 90.00°
Element x y z (fractional)
Ti 0.500 0.000 0.000
Ti 0.000 0.500 0.000
S 0.000 0.000 0.000
Ni 0.500 0.500 0.500
Pb 0.000 0.000 0.500

First-principles (meta-GGA SCAN) data for a crystal of SbP2S2 relaxed with PBEsol, as listed in Alexandria.

Summary:
Its spin magnetization is 0.8 μB per formula unit. Its symmetry is No. 123. The calculation puts the calculated volume at 121 Å³ per cell. The total energy comes out at -14.043 eV/atom.

Cell: 4.726 5.059 5.059 Å, 90.00 90.00 90.00°
Last column: magnetic moment on the atom in μB.
Element x y z (fractional)
P 0.000 0.500 0.000  0.35
P 0.000 0.000 0.500  0.35
Sb 0.000 0.000 0.000  0.01
S 0.500 0.500 0.500  -0.47
S 0.500 0.000 0.000  0.04

First-principles (meta-GGA SCAN) data for a crystal of YHg2Rh relaxed with PBEsol, as listed in Alexandria.

Summary:
Its spin magnetization is 0.0 μB per formula unit. Its symmetry is No. 38. The calculation puts the calculated volume at 84 Å³ per cell. For the formation energy, the calculation gives -1.84 eV per formula unit.

Cell: 3.700 4.004 5.992 Å, 90.00 107.99 90.00°
Element x y z (fractional)
Y 0.405 0.500 0.685
Rh 0.839 0.000 0.554
Hg 0.678 0.500 0.231
Hg 0.078 0.000 0.031

First-principles (meta-GGA SCAN) data for a crystal of GeTeP2 relaxed with PBEsol, as listed in Alexandria.

Summary:
Its spin magnetization is 0.0 μB per formula unit. Its symmetry is No. 225. The calculation puts the calculated volume at 73 Å³ per cell. The total energy comes out at -18.578 eV/atom.

Cell: 4.690 4.690 4.690 Å, 60.00 60.00 60.00°
Element x y z (fractional)
Ge 0.000 0.000 0.000
P 0.250 0.250 0.250
P 0.750 0.750 0.750
Te 0.500 0.500 0.500

First-principles (meta-GGA SCAN) data for a crystal of KMgBi3 relaxed with PBEsol, as listed in Alexandria.

Summary:
Its spin magnetization is 0.0 μB per formula unit. Its symmetry is No. 221. The calculation puts the calculated volume at 174 Å³ per cell. For the formation energy, the calculation gives 0.20 eV per formula unit.

Cell: 5.586 5.586 5.586 Å, 90.00 90.00 90.00°
Element x y z (fractional)
Bi 0.500 0.000 0.000
Bi 0.000 0.500 0.000
Bi 0.000 0.000 0.500
Mg 0.000 0.000 0.000
K 0.500 0.500 0.500

First-principles (meta-GGA SCAN) data for a crystal of TbNiGe relaxed with PBEsol, as listed in Alexandria.

Summary:
Its spin magnetization is 0.0 μB per formula unit. Its symmetry is No. 12. The calculation puts the calculated volume at 104 Å³ per cell. For the formation energy, the calculation gives -2.34 eV per formula unit.

Cell: 4.086 5.418 5.506 Å, 77.11 68.22 67.84°
Element x y z (fractional)
Tb 0.553 0.708 0.187
Tb 0.447 0.292 0.813
Ge 0.170 0.259 0.400
Ge 0.830 0.741 0.600
Ni 0.168 0.885 0.778
Ni 0.832 0.115 0.222

First-principles (meta-GGA SCAN) data for a crystal of CrIrPb2 relaxed with PBEsol, as listed in Alexandria.

Summary:
Its spin magnetization is 4.1 μB per formula unit. Its symmetry is No. 12. The calculation puts the calculated volume at 80 Å³ per cell. For the formation energy, the calculation gives 1.79 eV per formula unit.

Cell: 3.336 4.700 5.546 Å, 101.10 90.00 110.79°
Last column: magnetic moment on the atom in μB.
Element x y z (fractional)
Pb 0.756 0.512 0.759  -0.03
Pb 0.244 0.488 0.241  -0.03
Ir 0.500 0.000 0.000  0.04
Cr 0.000 0.000 0.500  3.84

First-principles (meta-GGA SCAN) data for a crystal of BaInNF2 relaxed with PBEsol, as listed in Alexandria.

Summary:
Its spin magnetization is 0.0 μB per formula unit. Its symmetry is No. 123. The calculation puts the calculated volume at 81 Å³ per cell. The total energy comes out at -19.854 eV/atom.

Cell: 4.066 4.474 4.474 Å, 90.00 90.00 90.00°
Element x y z (fractional)
F 0.000 0.500 0.000
F 0.000 0.000 0.500
N 0.500 0.000 0.000
Ba 0.500 0.500 0.500
In 0.000 0.000 0.000

Question: Among the records above, which one has the lowest calculated volume?
Answer: GeTeP2